GGA-PBE Ce2SnHg3, optimized geometry; relative energy among the computed polymorphs = 14.8 kJ/mol of atoms; uncorrected energy = -18.2 eV/cell; M_tot = 2.548 Bohr magnetons per cell; SG = No. 44
1.0
-1.7106 2.2676 11.0592
1.7106 -2.2676 11.0592
1.7106 2.2676 -11.0592
Ce Sn Hg
2 1 3
direct
0.0000 0.0000 0.0000
0.7245 0.2245 0.5000
0.5742 0.5742 0.0000
0.1536 0.6536 0.5000
0.3062 0.8062 0.5000
0.4168 0.4168 0.0000